(1)
Computed, not measured: a relaxed Er3TeCCl crystal at the PBE level of DFT.

Properties
For the energy relative to the elements, uncorrected, the calculation gives -1038 meV/atom. For the density of states at the Fermi level, the calculation gives 3.54 states/eV/cell. The value obtained for the total magnetization is 1.291 μB per cell.

Cell lengths 8.136, 3.800, 9.757 Å; angles 90.00, 94.68, 90.00 degrees
Space group P2_1/m (No. 11)
Inequivalent atoms, fractional coordinates:
Er 0.082 0.250 0.380 [2 per cell]
Er 0.127 0.250 0.876 [2 per cell]
Er 0.334 0.750 0.632 [2 per cell]
Te 0.362 0.750 0.319 [2 per cell]
C 0.131 0.250 0.636 [2 per cell]
Cl 0.358 0.750 0.914 [2 per cell]

---

(2)
Computed, not measured: a relaxed TiCuSb3 crystal at the PBE level of DFT.

Properties
For the energy relative to the elements, uncorrected, the calculation gives 475 meV/atom. For the density of states at the Fermi level, the calculation gives 3.73 states/eV/cell. The value obtained for the total magnetization is 0.000 μB per cell. The energy relative to the lowest polymorph listed for this composition comes out at 0.0 meV per atom.

Cell lengths 5.215, 5.215, 5.215 Å; angles 90.00, 90.00, 90.00 degrees
Space group Pm-3m (No. 221)
Inequivalent atoms, fractional coordinates:
Ti 0.000 0.000 0.000 [1 per cell]
Cu 0.500 0.500 0.500 [1 per cell]
Sb 0.000 0.000 0.500 [3 per cell]

---

(3)
Computed, not measured: a relaxed Os2PbO7 crystal at the PBE level of DFT.

Properties
For the energy relative to the elements, uncorrected, the calculation gives -905 meV/atom. For the density of states at the Fermi level, the calculation gives 10.80 states/eV/cell. The value obtained for the total magnetization is 1.309 μB per cell.

Cell lengths 6.291, 10.108, 3.793 Å; angles 90.00, 90.00, 90.00 degrees
Space group Cmmm (No. 65)
Inequivalent atoms, fractional coordinates:
Os 0.000 0.190 0.000 [4 per cell]
Pb 0.000 0.500 0.500 [2 per cell]
O 0.000 0.000 0.000 [2 per cell]
O 0.000 0.195 0.500 [4 per cell]
O 0.183 0.356 0.000 [8 per cell]

---

(4)
Computed, not measured: a relaxed PrHoTeI crystal at the PBE level of DFT.

Properties
For the energy relative to the elements, uncorrected, the calculation gives -1003 meV/atom. For the density of states at the Fermi level, the calculation gives 14.12 states/eV/cell. The value obtained for the total magnetization is 0.000 μB per cell.

Cell lengths 7.677, 7.677, 7.677 Å; angles 90.00, 90.00, 90.00 degrees
Space group F-43m (No. 216)
Inequivalent atoms, fractional coordinates:
Pr 0.000 0.000 0.000 [4 per cell]
Ho 0.000 0.000 0.500 [4 per cell]
Te 0.250 0.250 0.750 [4 per cell]
I 0.250 0.250 0.250 [4 per cell]

---

(5)
Computed, not measured: a relaxed MgCdIn4Se8 crystal at the PBE level of DFT.

Properties
For the energy relative to the elements, uncorrected, the calculation gives -628 meV/atom. For the density of states at the Fermi level, the calculation gives 16.70 states/eV/cell. The value obtained for the total magnetization is 0.000 μB per cell.

Cell lengths 8.1447, 8.1447, 19.8308 Å; angles 90.00, 90.00, 120.00 degrees
Space group R3m (No. 160, hexagonal axes)
Inequivalent atoms, fractional coordinates:
Mg 0.0000 0.0000 0.0000 [3 per cell]
Cd 0.0000 0.0000 0.3789 [3 per cell]
In 0.0000 0.0000 0.6177 [3 per cell]
In 0.1714 0.3428 0.8293 [9 per cell]
Se 0.0000 0.0000 0.2413 [3 per cell]
Se 0.0000 0.0000 0.7543 [3 per cell]
Se 0.0282 0.5141 0.7488 [9 per cell]
Se 0.1811 0.3622 0.5783 [9 per cell]

---

(6)
Computed, not measured: a relaxed Sr2CaFe crystal at the PBE level of DFT.

Properties
For the density of states at the Fermi level, the calculation gives 21.10 states/eV/cell. Its formation energy from the elements is 1.029 eV per atom. The value obtained for the total magnetization is 1.100 μB per cell. The energy relative to the lowest polymorph listed for this composition comes out at 638.6 meV per atom.

Cell lengths 8.120, 8.120, 11.453 Å; angles 90.00, 90.00, 90.00 degrees
Space group I4_1/amd (No. 141, origin choice 2)
Inequivalent atoms, fractional coordinates:
Sr 0.000 0.000 0.000 [8 per cell]
Ca 0.000 0.250 0.375 [4 per cell]
Fe 0.000 0.250 0.875 [4 per cell]